i.
A geometry-optimized KHfB2 structure, computed with PBE-GGA.

```
data_KHfB2
_chemical_formula_sum 'K4 Hf4 B8'
_cell_length_a 6.3439
_cell_length_b 6.3439
_cell_length_c 6.3439
_cell_angle_alpha 90.00
_cell_angle_beta 90.00
_cell_angle_gamma 90.00
_space_group_name_H-M_alt 'F m -3 m'
_space_group_IT_number 225
_space_group_name_Hall '-F 4 2 3'
loop_
_atom_site_label
_atom_site_type_symbol
_atom_site_fract_x
_atom_site_fract_y
_atom_site_fract_z
K1 K 0.0000 0.0000 0.0000
Hf1 Hf 0.0000 0.0000 0.5000
B1 B 0.2500 0.2500 0.2500
```

ii.
A geometry-optimized KHfB2 structure, computed with PBE-GGA.

```
data_KHfB2
_chemical_formula_sum 'K4 Hf4 B8'
_cell_length_a 5.1734
_cell_length_b 5.1734
_cell_length_c 15.0657
_cell_angle_alpha 90.00
_cell_angle_beta 90.00
_cell_angle_gamma 90.00
_space_group_name_H-M_alt 'I -4 2 d'
_space_group_IT_number 122
_space_group_name_Hall 'I -4 2bw'
loop_
_atom_site_label
_atom_site_type_symbol
_atom_site_fract_x
_atom_site_fract_y
_atom_site_fract_z
K1 K 0.0000 0.0000 0.0000
Hf1 Hf 0.0000 0.0000 0.5000
B1 B 0.0060 0.2500 0.6250
```

Computed relative energies in units of meV per atom: i 104; ii 0

i.
A geometry-optimized LaHfB3 structure, computed with PBE-GGA.

```
data_LaHfB3
_chemical_formula_sum 'La1 Hf1 B3'
_cell_length_a 4.4134
_cell_length_b 4.4134
_cell_length_c 4.4134
_cell_angle_alpha 90.00
_cell_angle_beta 90.00
_cell_angle_gamma 90.00
_space_group_name_H-M_alt 'P m -3 m'
_space_group_IT_number 221
_space_group_name_Hall '-P 4 2 3'
loop_
_atom_site_label
_atom_site_type_symbol
_atom_site_fract_x
_atom_site_fract_y
_atom_site_fract_z
La1 La 0.0000 0.0000 0.0000
Hf1 Hf 0.5000 0.5000 0.5000
B1 B 0.0000 0.0000 0.5000
```

ii.
A geometry-optimized LaHfB3 structure, computed with PBE-GGA.

```
data_LaHfB3
_chemical_formula_sum 'La1 Hf1 B3'
_cell_length_a 4.4513
_cell_length_b 4.4513
_cell_length_c 4.4513
_cell_angle_alpha 90.00
_cell_angle_beta 90.00
_cell_angle_gamma 90.00
_space_group_name_H-M_alt 'P m -3 m'
_space_group_IT_number 221
_space_group_name_Hall '-P 4 2 3'
loop_
_atom_site_label
_atom_site_type_symbol
_atom_site_fract_x
_atom_site_fract_y
_atom_site_fract_z
La1 La 0.0000 0.0000 0.0000
Hf1 Hf 0.5000 0.5000 0.5000
B1 B 0.0000 0.5000 0.5000
```

Computed relative energies in units of meV per atom: i 1421; ii 0

i.
A geometry-optimized LiHfB3 structure, computed with PBE-GGA.

```
data_LiHfB3
_chemical_formula_sum 'Li1 Hf1 B3'
_cell_length_a 3.6770
_cell_length_b 3.6770
_cell_length_c 3.6770
_cell_angle_alpha 90.00
_cell_angle_beta 90.00
_cell_angle_gamma 90.00
_space_group_name_H-M_alt 'P m -3 m'
_space_group_IT_number 221
_space_group_name_Hall '-P 4 2 3'
loop_
_atom_site_label
_atom_site_type_symbol
_atom_site_fract_x
_atom_site_fract_y
_atom_site_fract_z
Li1 Li 0.0000 0.0000 0.0000
Hf1 Hf 0.5000 0.5000 0.5000
B1 B 0.0000 0.0000 0.5000
```

ii.
A geometry-optimized LiHfB3 structure, computed with PBE-GGA.

```
data_LiHfB3
_chemical_formula_sum 'Li1 Hf1 B3'
_cell_length_a 4.4733
_cell_length_b 4.4733
_cell_length_c 4.4733
_cell_angle_alpha 90.00
_cell_angle_beta 90.00
_cell_angle_gamma 90.00
_space_group_name_H-M_alt 'P m -3 m'
_space_group_IT_number 221
_space_group_name_Hall '-P 4 2 3'
loop_
_atom_site_label
_atom_site_type_symbol
_atom_site_fract_x
_atom_site_fract_y
_atom_site_fract_z
Li1 Li 0.0000 0.0000 0.0000
Hf1 Hf 0.5000 0.5000 0.5000
B1 B 0.0000 0.5000 0.5000
```

Computed relative energies in units of meV per atom: i 0; ii 559

i.
A geometry-optimized Li2Hf2B structure, computed with PBE-GGA.

```
data_Li2Hf2B
_chemical_formula_sum 'Li4 Hf4 B2'
_cell_length_a 5.9020
_cell_length_b 5.9020
_cell_length_c 4.1950
_cell_angle_alpha 90.00
_cell_angle_beta 90.00
_cell_angle_gamma 90.00
_space_group_name_H-M_alt 'P 4/m b m'
_space_group_IT_number 127
_space_group_name_Hall '-P 4 2ab'
loop_
_atom_site_label
_atom_site_type_symbol
_atom_site_fract_x
_atom_site_fract_y
_atom_site_fract_z
Li1 Li 0.1406 0.3594 0.0000
Hf1 Hf 0.1792 0.6792 0.5000
B1 B 0.0000 0.0000 0.0000
```

ii.
A geometry-optimized Li2Hf2B structure, computed with PBE-GGA.

```
data_Li2Hf2B
_chemical_formula_sum 'Li4 Hf4 B2'
_cell_length_a 3.9934
_cell_length_b 3.9934
_cell_length_c 10.3794
_cell_angle_alpha 90.00
_cell_angle_beta 90.00
_cell_angle_gamma 90.00
_space_group_name_H-M_alt 'I 4/m m m'
_space_group_IT_number 139
_space_group_name_Hall '-I 4 2'
loop_
_atom_site_label
_atom_site_type_symbol
_atom_site_fract_x
_atom_site_fract_y
_atom_site_fract_z
Li1 Li 0.0000 0.0000 0.0798
Hf1 Hf 0.0000 0.5000 0.2500
B1 B 0.0000 0.0000 0.5000
```

Computed relative energies in units of meV per atom: i 0; ii 747

i.
A geometry-optimized LiHf2BRh structure, computed with PBE-GGA.

```
data_LiHf2BRh
_chemical_formula_sum 'Li1 Hf2 B1 Rh1'
_cell_length_a 5.0225
_cell_length_b 5.0225
_cell_length_c 4.0301
_cell_angle_alpha 90.00
_cell_angle_beta 90.00
_cell_angle_gamma 90.00
_space_group_name_H-M_alt 'P 4/m m m'
_space_group_IT_number 123
_space_group_name_Hall '-P 4 2'
loop_
_atom_site_label
_atom_site_type_symbol
_atom_site_fract_x
_atom_site_fract_y
_atom_site_fract_z
Li1 Li 0.0000 0.0000 0.0000
Hf1 Hf 0.0000 0.5000 0.5000
B1 B 0.5000 0.5000 0.0000
Rh1 Rh 0.5000 0.5000 0.5000
```

ii.
A geometry-optimized LiHf2BRh structure, computed with PBE-GGA.

```
data_LiHf2BRh
_chemical_formula_sum 'Li1 Hf2 B1 Rh1'
_cell_length_a 4.5528
_cell_length_b 4.5528
_cell_length_c 3.8881
_cell_angle_alpha 90.00
_cell_angle_beta 90.00
_cell_angle_gamma 90.00
_space_group_name_H-M_alt 'P 4/m m m'
_space_group_IT_number 123
_space_group_name_Hall '-P 4 2'
loop_
_atom_site_label
_atom_site_type_symbol
_atom_site_fract_x
_atom_site_fract_y
_atom_site_fract_z
Li1 Li 0.0000 0.0000 0.0000
Hf1 Hf 0.0000 0.5000 0.0000
B1 B 0.5000 0.5000 0.5000
Rh1 Rh 0.0000 0.0000 0.5000
```

Computed relative energies in units of meV per atom: i 0; ii 471

i.
A geometry-optimized HfMg6B structure, computed with PBE-GGA.

```
data_HfMg6B
_chemical_formula_sum 'Hf2 Mg12 B2'
_cell_length_a 3.8421
_cell_length_b 8.4585
_cell_length_c 10.0609
_cell_angle_alpha 90.00
_cell_angle_beta 90.00
_cell_angle_gamma 90.00
_space_group_name_H-M_alt 'A m m 2'
_space_group_IT_number 38
loop_
_space_group_symop_operation_xyz
'x,y,z'
'-x,-y,z'
'-x,y,z'
'x,-y,z'
'x,y+1/2,z+1/2'
'-x,-y+1/2,z+1/2'
'-x,y+1/2,z+1/2'
'x,-y+1/2,z+1/2'
loop_
_atom_site_label
_atom_site_type_symbol
_atom_site_fract_x
_atom_site_fract_y
_atom_site_fract_z
Hf1 Hf 0.0000 0.0000 0.0000
Mg1 Mg 0.0000 0.0000 0.4481
Mg2 Mg 0.0000 0.1828 0.7408
Mg3 Mg 0.5000 0.0000 0.2299
Mg4 Mg 0.5000 0.2404 0.4918
B1 B 0.5000 0.0000 0.8623
```

ii.
A geometry-optimized HfMg6B structure, computed with PBE-GGA.

```
data_HfMg6B
_chemical_formula_sum 'Hf2 Mg12 B2'
_cell_length_a 4.6792
_cell_length_b 5.5385
_cell_length_c 12.0537
_cell_angle_alpha 90.00
_cell_angle_beta 90.00
_cell_angle_gamma 90.00
_space_group_name_H-M_alt 'A m m 2'
_space_group_IT_number 38
loop_
_space_group_symop_operation_xyz
'x,y,z'
'-x,-y,z'
'-x,y,z'
'x,-y,z'
'x,y+1/2,z+1/2'
'-x,-y+1/2,z+1/2'
'-x,y+1/2,z+1/2'
'x,-y+1/2,z+1/2'
loop_
_atom_site_label
_atom_site_type_symbol
_atom_site_fract_x
_atom_site_fract_y
_atom_site_fract_z
Hf1 Hf 0.0000 0.0000 0.0000
Mg1 Mg 0.0000 0.2488 0.7520
Mg2 Mg 0.5000 0.0000 0.1556
Mg3 Mg 0.5000 0.0000 0.6038
Mg4 Mg 0.5000 0.2494 0.3903
B1 B 0.0000 0.0000 0.4568
```

Computed relative energies in units of meV per atom: i 0; ii 182

i.
A geometry-optimized HfMg3B structure, computed with PBE-GGA.

```
data_HfMg3B
_chemical_formula_sum 'Hf1 Mg3 B1'
_cell_length_a 4.5688
_cell_length_b 4.5688
_cell_length_c 4.5688
_cell_angle_alpha 90.00
_cell_angle_beta 90.00
_cell_angle_gamma 90.00
_space_group_name_H-M_alt 'P m -3 m'
_space_group_IT_number 221
_space_group_name_Hall '-P 4 2 3'
loop_
_atom_site_label
_atom_site_type_symbol
_atom_site_fract_x
_atom_site_fract_y
_atom_site_fract_z
Hf1 Hf 0.0000 0.0000 0.0000
Mg1 Mg 0.0000 0.5000 0.5000
B1 B 0.5000 0.5000 0.5000
```

ii.
A geometry-optimized HfMg3B structure, computed with PBE-GGA.

```
data_HfMg3B
_chemical_formula_sum 'Hf1 Mg3 B1'
_cell_length_a 5.6491
_cell_length_b 5.6491
_cell_length_c 5.6491
_cell_angle_alpha 90.00
_cell_angle_beta 90.00
_cell_angle_gamma 90.00
_space_group_name_H-M_alt 'P m -3 m'
_space_group_IT_number 221
_space_group_name_Hall '-P 4 2 3'
loop_
_atom_site_label
_atom_site_type_symbol
_atom_site_fract_x
_atom_site_fract_y
_atom_site_fract_z
Hf1 Hf 0.0000 0.0000 0.0000
Mg1 Mg 0.0000 0.0000 0.5000
B1 B 0.5000 0.5000 0.5000
```

Computed relative energies in units of meV per atom: i 0; ii 1580